# 1
Entry from Alexandria via LeMat-Bulk: a relaxed structure of Ti3WSe (PBE).

Results
density of states at the Fermi level: 1.085 states/eV/atom
total magnetic moment: 0.0 μB/cell
ΔE_f (raw): 2.33 eV per formula unit
total DFT energy (no corrections): -7.559 eV per atom
energy relative to the lowest polymorph listed for this composition: 0 meV/atom
space-group type: Pm-3m, No. 221

```
data_Ti3WSe
_chemical_formula_sum 'Ti3 W1 Se1'
_cell_length_a 4.571
_cell_length_b 4.571
_cell_length_c 4.571
_cell_angle_alpha 90.00
_cell_angle_beta 90.00
_cell_angle_gamma 90.00
_space_group_name_H-M_alt 'P 1'
_space_group_IT_number 1
loop_
_space_group_symop_operation_xyz
'x,y,z'
loop_
_atom_site_label
_atom_site_type_symbol
_atom_site_fract_x
_atom_site_fract_y
_atom_site_fract_z
Se1 Se 0.000 0.000 0.000
Ti1 Ti 0.000 0.000 0.500
Ti2 Ti 0.000 0.500 0.000
W1 W 0.500 0.500 0.500
Ti3 Ti 0.500 0.000 0.000
```


# 2
Entry from Alexandria via LeMat-Bulk: a relaxed structure of ZrClF4 (PBE).

Results
total magnetic moment: 2.0 μB/cell
ΔE_f (raw): -16.44 eV per formula unit
total DFT energy (no corrections): -5.719 eV per atom
space-group type: P2_1, No. 4

```
data_ZrClF4
_chemical_formula_sum 'Zr2 Cl2 F8'
_cell_length_a 4.205
_cell_length_b 6.525
_cell_length_c 8.753
_cell_angle_alpha 90.00
_cell_angle_beta 103.73
_cell_angle_gamma 90.00
_space_group_name_H-M_alt 'P 1'
_space_group_IT_number 1
loop_
_space_group_symop_operation_xyz
'x,y,z'
loop_
_atom_site_label
_atom_site_type_symbol
_atom_site_fract_x
_atom_site_fract_y
_atom_site_fract_z
F1 F 0.567 0.579 0.325
F2 F 0.471 0.031 0.000
Zr1 Zr 0.582 0.781 0.165
F3 F 0.753 0.982 0.325
Zr2 Zr 0.418 0.281 0.835
F4 F 0.063 0.781 0.127
Cl1 Cl 0.146 0.281 0.296
Cl2 Cl 0.854 0.781 0.704
F5 F 0.529 0.531 0.000
F6 F 0.433 0.079 0.675
F7 F 0.247 0.482 0.675
F8 F 0.937 0.281 0.873
```